# 1
DFT (GGA-PBE) results for CsAg2F8 after structural relaxation.

Results
The formation energy without anion corrections is -1.09 eV/atom. As for the space group: No. 123. The magnetization comes out at 5.07 μB/cell.

Unit cell a=5.247 b=5.247 c=7.319 alpha=90.00 beta=90.00 gamma=90.00
Fractional positions:
Cs 0.000 0.000 0.000
Ag 0.000 0.500 0.500
Ag 0.500 0.000 0.500
F 0.252 0.252 0.329
F 0.252 0.252 0.671
F 0.252 0.748 0.329
F 0.252 0.748 0.671
F 0.748 0.252 0.329
F 0.748 0.252 0.671
F 0.748 0.748 0.329
F 0.748 0.748 0.671

---

# 2
DFT (GGA-PBE) results for Th6AsC2Se3 after structural relaxation.

Results
The formation energy without anion corrections is -1.18 eV/atom. As for the space group: No. 12. The magnetization comes out at 0.00 μB/cell.

Unit cell a=9.241 b=9.241 c=8.411 alpha=105.50 beta=105.50 gamma=24.93
Fractional positions:
Th 0.020 0.020 0.258
Th 0.322 0.322 0.442
Th 0.331 0.331 0.873
Th 0.669 0.669 0.127
Th 0.678 0.678 0.558
Th 0.980 0.980 0.742
As 0.500 0.500 0.000
C 0.172 0.172 0.337
C 0.828 0.828 0.663
Se 0.160 0.160 0.834
Se 0.500 0.500 0.500
Se 0.840 0.840 0.166

---

# 3
DFT (GGA-PBE) results for LiRuS2 after structural relaxation.

Results
The formation energy without anion corrections is -0.44 eV/atom. As for the space group: No. 166. The magnetization comes out at 1.00 μB/cell.

Unit cell a=7.258 b=7.258 c=7.258 alpha=28.92 beta=28.92 gamma=28.92
Fractional positions:
Li 0.000 0.000 0.000
Ru 0.500 0.500 0.500
S 0.109 0.109 0.109
S 0.891 0.891 0.891

---

# 4
DFT (GGA-PBE) results for AcPrZnPt after structural relaxation.

Results
Its energy of formation is -0.608 eV per atom. As for the energy above the lowest structure with this stoichiometry: 0.070 eV/atom. As for the space group: No. 216. The magnetization comes out at 0.00 μB/cell.

Unit cell a=5.316 b=5.316 c=5.316 alpha=60.00 beta=60.00 gamma=60.00
Fractional positions:
Ac 0.000 0.000 0.000
Pr 0.500 0.500 0.500
Zn 0.750 0.750 0.750
Pt 0.250 0.250 0.250

---

# 5
DFT (GGA-PBE) results for Ti3NbGa4 after structural relaxation.

Results
Its energy of formation is -0.315 eV per atom. As for the space group: No. 53. The magnetization comes out at 0.00 μB/cell.

Unit cell a=8.199 b=5.657 c=5.634 alpha=90.00 beta=90.00 gamma=90.00
Fractional positions:
Ti 0.000 0.000 0.000
Ti 0.250 0.252 0.250
Ti 0.250 0.748 0.750
Ti 0.500 0.000 0.500
Ti 0.750 0.252 0.250
Ti 0.750 0.748 0.750
Nb 0.000 0.500 0.000
Nb 0.500 0.500 0.500
Ga 0.000 0.000 0.500
Ga 0.000 0.500 0.500
Ga 0.250 0.247 0.750
Ga 0.250 0.753 0.250
Ga 0.500 0.000 0.000
Ga 0.500 0.500 0.000
Ga 0.750 0.247 0.750
Ga 0.750 0.753 0.250

---

# 6
DFT (GGA-PBE) results for Np3Tc5N12 after structural relaxation.

Results
The formation energy without anion corrections is -0.35 eV/atom. As for the space group: No. 230. The magnetization comes out at 30.91 μB/cell.

Unit cell a=10.903 b=10.903 c=10.903 alpha=109.47 beta=109.47 gamma=109.47
Fractional positions:
Np 0.125 0.250 0.375
Np 0.125 0.375 0.750
Np 0.250 0.375 0.125
Np 0.250 0.875 0.625
Np 0.375 0.125 0.250
Np 0.375 0.750 0.125
Np 0.625 0.250 0.875
Np 0.625 0.875 0.750
Np 0.750 0.125 0.375
Np 0.750 0.625 0.875
Np 0.875 0.625 0.250
Np 0.875 0.750 0.625
Tc 0.000 0.000 0.000
Tc 0.000 0.000 0.500
Tc 0.000 0.500 0.000
Tc 0.000 0.500 0.500
Tc 0.125 0.750 0.875
Tc 0.125 0.875 0.250
Tc 0.250 0.125 0.875
Tc 0.250 0.625 0.375
Tc 0.375 0.250 0.625
Tc 0.375 0.625 0.750
Tc 0.500 0.000 0.000
Tc 0.500 0.000 0.500
Tc 0.500 0.500 0.000
Tc 0.500 0.500 0.500
Tc 0.625 0.375 0.250
Tc 0.625 0.750 0.375
Tc 0.750 0.375 0.625
Tc 0.750 0.875 0.125
Tc 0.875 0.125 0.750
Tc 0.875 0.250 0.125
N 0.027 0.207 0.124
N 0.027 0.319 0.903
N 0.083 0.707 0.681
N 0.083 0.876 0.403
N 0.097 0.624 0.417
N 0.097 0.973 0.681
N 0.124 0.027 0.207
N 0.124 0.597 0.917
N 0.181 0.207 0.583
N 0.181 0.473 0.597
N 0.207 0.124 0.027
N 0.207 0.583 0.181
N 0.293 0.319 0.917
N 0.293 0.473 0.376
N 0.319 0.903 0.027
N 0.319 0.917 0.293
N 0.376 0.293 0.473
N 0.376 0.583 0.903
N 0.403 0.083 0.876
N 0.403 0.819 0.527
N 0.417 0.097 0.624
N 0.417 0.819 0.793
N 0.473 0.376 0.293
N 0.473 0.597 0.181
N 0.527 0.403 0.819
N 0.527 0.624 0.707
N 0.583 0.181 0.207
N 0.583 0.903 0.376
N 0.597 0.181 0.473
N 0.597 0.917 0.124
N 0.624 0.417 0.097
N 0.624 0.707 0.527
N 0.681 0.083 0.707
N 0.681 0.097 0.973
N 0.707 0.527 0.624
N 0.707 0.681 0.083
N 0.793 0.417 0.819
N 0.793 0.876 0.973
N 0.819 0.527 0.403
N 0.819 0.793 0.417
N 0.876 0.403 0.083
N 0.876 0.973 0.793
N 0.903 0.027 0.319
N 0.903 0.376 0.583
N 0.917 0.124 0.597
N 0.917 0.293 0.319
N 0.973 0.681 0.097
N 0.973 0.793 0.876

---

# 7
DFT (GGA-PBE) results for ReSiNi2Br after structural relaxation.

Results
The formation energy without anion corrections is 1.41 eV/atom. As for the space group: No. 123. The magnetization comes out at 3.64 μB/cell.

Unit cell a=4.227 b=4.227 c=5.057 alpha=90.00 beta=90.00 gamma=90.00
Fractional positions:
Re 0.000 0.000 0.000
Si 0.500 0.500 0.500
Ni 0.000 0.500 0.500
Ni 0.500 0.000 0.500
Br 0.500 0.500 0.000

---

# 8
DFT (GGA-PBE) results for VSiSbTe2 after structural relaxation.

Results
As for the energy above the lowest structure with this stoichiometry: 0.410 eV/atom. The formation energy without anion corrections is 1.03 eV/atom. As for the space group: No. 123. The magnetization comes out at 0.03 μB/cell.

Unit cell a=5.183 b=5.183 c=5.140 alpha=90.00 beta=90.00 gamma=90.00
Fractional positions:
V 0.000 0.000 0.000
Si 0.500 0.500 0.500
Sb 0.500 0.500 0.000
Te 0.000 0.500 0.500
Te 0.500 0.000 0.500

---

# 9
DFT (GGA-PBE) results for Sm2Ge4Pt3Au after structural relaxation.

Results
Its energy of formation is -0.833 eV per atom. As for the space group: No. 115. The magnetization comes out at 0.00 μB/cell.

Unit cell a=4.384 b=4.384 c=10.150 alpha=90.00 beta=90.00 gamma=90.00
Fractional positions:
Sm 0.000 0.500 0.250
Sm 0.500 0.000 0.750
Ge 0.000 0.000 0.000
Ge 0.000 0.500 0.638
Ge 0.500 0.000 0.362
Ge 0.500 0.500 0.000
Pt 0.000 0.500 0.878
Pt 0.500 0.000 0.122
Pt 0.500 0.500 0.500
Au 0.000 0.000 0.500

---

# 10
DFT (GGA-PBE) results for Cs2AgSnI6 after structural relaxation.

Results
The formation energy without anion corrections is -0.84 eV/atom. As for the space group: No. 139. The magnetization comes out at 0.00 μB/cell.

Unit cell a=8.538 b=8.538 c=8.538 alpha=120.12 beta=120.12 gamma=89.79
Fractional positions:
Cs 0.250 0.750 0.500
Cs 0.750 0.250 0.500
Ag 0.000 0.000 0.000
Sn 0.500 0.500 0.000
I 0.248 0.248 0.000
I 0.248 0.248 0.496
I 0.248 0.752 0.000
I 0.752 0.248 0.000
I 0.752 0.752 0.000
I 0.752 0.752 0.504

---

# 11
DFT (GGA-PBE) results for PmU2F11 after structural relaxation.

Results
The formation energy without anion corrections is -3.75 eV/atom. As for the space group: No. 72. The magnetization comes out at 8.00 μB/cell.

Unit cell a=8.788 b=8.788 c=8.788 alpha=122.31 beta=106.37 gamma=100.58
Fractional positions:
Pm 0.250 0.250 0.000
Pm 0.750 0.750 0.000
U 0.182 0.649 0.831
U 0.318 0.149 0.467
U 0.682 0.851 0.533
U 0.818 0.351 0.169
F 0.000 0.500 0.500
F 0.037 0.953 0.269
F 0.064 0.356 0.148
F 0.184 0.453 0.916
F 0.209 0.916 0.852
F 0.214 0.372 0.587
F 0.286 0.872 0.158
F 0.291 0.144 0.708
F 0.316 0.232 0.269
F 0.436 0.584 0.292
F 0.463 0.732 0.916
F 0.500 0.000 0.500
F 0.537 0.268 0.084
F 0.564 0.416 0.708
F 0.684 0.768 0.731
F 0.709 0.856 0.292
F 0.714 0.128 0.842
F 0.786 0.628 0.413
F 0.791 0.084 0.148
F 0.816 0.547 0.084
F 0.936 0.644 0.852
F 0.963 0.047 0.731

---

# 12
DFT (GGA-PBE) results for SbBrCl after structural relaxation.

Results
As for the energy above the lowest structure with this stoichiometry: 0.047 eV/atom. The formation energy without anion corrections is -0.54 eV/atom. As for the space group: No. 2. The magnetization comes out at 0.00 μB/cell.

Unit cell a=3.543 b=7.598 c=8.480 alpha=78.21 beta=89.82 gamma=76.89
Fractional positions:
Sb 0.005 0.486 0.256
Sb 0.995 0.514 0.744
Br 0.130 0.230 0.085
Br 0.870 0.770 0.915
Cl 0.117 0.253 0.510
Cl 0.883 0.747 0.490

---

# 13
DFT (GGA-PBE) results for Li2Pm2PrBi2 after structural relaxation.

Results
Its energy of formation is -0.458 eV per atom. As for the space group: No. 166. The magnetization comes out at 0.01 μB/cell.

Unit cell a=9.698 b=9.698 c=9.698 alpha=29.39 beta=29.39 gamma=29.39
Fractional positions:
Li 0.090 0.090 0.090
Li 0.910 0.910 0.910
Pm 0.369 0.369 0.369
Pm 0.631 0.631 0.631
Pr 0.500 0.500 0.500
Bi 0.236 0.236 0.236
Bi 0.764 0.764 0.764

---

# 14
DFT (GGA-PBE) results for BaPaS2 after structural relaxation.

Results
As for the energy above the lowest structure with this stoichiometry: 0.000 eV/atom. The formation energy without anion corrections is -1.66 eV/atom. As for the space group: No. 166. The magnetization comes out at 1.10 μB/cell.

Unit cell a=7.618 b=7.618 c=7.618 alpha=30.98 beta=30.98 gamma=30.98
Fractional positions:
Ba 0.000 0.000 0.000
Pa 0.500 0.500 0.500
S 0.237 0.237 0.237
S 0.763 0.763 0.763

---

# 15
DFT (GGA-PBE) results for ErMnRuRh after structural relaxation.

Results
Its energy of formation is -0.269 eV per atom. As for the space group: No. 216. The magnetization comes out at 3.88 μB/cell.

Unit cell a=4.536 b=4.536 c=4.536 alpha=60.00 beta=60.00 gamma=60.00
Fractional positions:
Er 0.000 0.000 0.000
Mn 0.500 0.500 0.500
Ru 0.750 0.750 0.750
Rh 0.250 0.250 0.250

---

# 16
DFT (GGA-PBE) results for Ba2NaCdAu6 after structural relaxation.

Results
Its energy of formation is -0.216 eV per atom. As for the space group: No. 225. The magnetization comes out at 0.00 μB/cell.

Unit cell a=7.506 b=7.506 c=7.506 alpha=60.00 beta=60.00 gamma=60.00
Fractional positions:
Ba 0.250 0.250 0.250
Ba 0.750 0.750 0.750
Na 0.000 0.000 0.000
Cd 0.500 0.500 0.500
Au 0.248 0.248 0.752
Au 0.248 0.752 0.248
Au 0.248 0.752 0.752
Au 0.752 0.248 0.248
Au 0.752 0.248 0.752
Au 0.752 0.752 0.248

---

# 17
DFT (GGA-PBE) results for SmTl2RuO6 after structural relaxation.

Results
The formation energy without anion corrections is -1.26 eV/atom. As for the space group: No. 164. The magnetization comes out at 0.99 μB/cell.

Unit cell a=6.283 b=6.283 c=5.873 alpha=90.00 beta=90.00 gamma=120.00
Fractional positions:
Sm 0.000 0.000 0.000
Tl 0.333 0.667 0.515
Tl 0.667 0.333 0.485
Ru 0.000 0.000 0.500
O 0.142 0.285 0.301
O 0.142 0.858 0.301
O 0.285 0.142 0.699
O 0.715 0.858 0.301
O 0.858 0.142 0.699
O 0.858 0.715 0.699

---

# 18
DFT (GGA-PBE) results for K2Cd3Sn6 after structural relaxation.

Results
Its energy of formation is -0.076 eV per atom. As for the space group: No. 189. The magnetization comes out at 0.00 μB/cell.

Unit cell a=8.854 b=8.854 c=5.098 alpha=90.00 beta=90.00 gamma=120.00
Fractional positions:
K 0.333 0.667 0.000
K 0.667 0.333 0.000
Cd 0.000 0.393 0.500
Cd 0.393 0.000 0.500
Cd 0.607 0.607 0.500
Sn 0.000 0.200 0.000
Sn 0.000 0.722 0.500
Sn 0.200 0.000 0.000
Sn 0.278 0.278 0.500
Sn 0.722 0.000 0.500
Sn 0.800 0.800 0.000

---

# 19
DFT (GGA-PBE) results for Ti2MoOs after structural relaxation.

Results
Its energy of formation is -0.397 eV per atom. As for the space group: No. 123. The magnetization comes out at 0.00 μB/cell.

Unit cell a=3.107 b=3.107 c=6.333 alpha=90.00 beta=90.00 gamma=90.00
Fractional positions:
Ti 0.000 0.000 0.244
Ti 0.000 0.000 0.756
Mo 0.500 0.500 0.500
Os 0.500 0.500 0.000

---

# 20
DFT (GGA-PBE) results for PrSm3Zn4 after structural relaxation.

Results
Its energy of formation is -0.314 eV per atom. As for the space group: No. 51. The magnetization comes out at 0.00 μB/cell.

Unit cell a=10.325 b=7.339 c=5.162 alpha=90.00 beta=90.00 gamma=90.00
Fractional positions:
Pr 0.000 0.000 0.000
Pr 0.500 0.000 0.000
Sm 0.000 0.500 0.000
Sm 0.250 0.000 0.499
Sm 0.250 0.500 0.499
Sm 0.500 0.500 0.000
Sm 0.750 0.000 0.501
Sm 0.750 0.500 0.501
Zn 0.000 0.254 0.500
Zn 0.000 0.746 0.500
Zn 0.250 0.254 0.999
Zn 0.250 0.746 0.999
Zn 0.500 0.254 0.500
Zn 0.500 0.746 0.500
Zn 0.750 0.254 0.001
Zn 0.750 0.746 0.001